--- 1 ---
5
Lattice="-1.964 -3.966 2.420 4.431 -0.810 2.270 -1.396 3.009 3.800" Properties=species:S:1:pos:R:3 comment="Sn3SeF | Alexandria via LeMat-Bulk | GGA-PBE | optimized geometry" space_group="Pm-3m, No. 221" pbc="T T T"
Sn 2.216 -0.405 1.135
Sn -0.698 1.505 1.900
Sn -0.982 -1.983 1.210
F 0.000 0.000 0.000
Se 0.535 -0.883 4.244

---

--- 2 ---
5
Lattice="-2.366 4.682 2.005 -4.960 -1.616 -2.081 -1.158 -2.647 4.816" Properties=species:S:1:pos:R:3 comment="Sn3SeF | Alexandria via LeMat-Bulk | GGA-PBE | optimized geometry" space_group="Pm-3m, No. 221" pbc="T T T"
Sn -2.480 -0.808 -1.040
Sn -0.579 -1.324 2.408
Sn -1.183 2.341 1.002
Se 0.000 0.000 0.000
F -4.242 0.209 2.370

---

Which one sits at the bottom of the stability order? 2 does.

---

--- 1 ---
5
Lattice="6.072 0.000 0.000 0.000 6.072 0.000 0.000 0.000 6.072" Properties=species:S:1:pos:R:3 comment="SrSe3F | Alexandria via LeMat-Bulk | GGA-PBE | optimized geometry" space_group="Pm-3m, No. 221" pbc="T T T"
Se 3.036 0.000 0.000
Se 0.000 0.000 3.036
Se 0.000 3.036 0.000
Sr 0.000 0.000 0.000
F 3.036 3.036 3.036

---

--- 2 ---
5
Lattice="4.816 0.000 0.000 0.000 4.816 0.000 0.000 0.000 4.816" Properties=species:S:1:pos:R:3 comment="SrSe3F | Alexandria via LeMat-Bulk | GGA-PBE | optimized geometry" space_group="Pm-3m, No. 221" pbc="T T T"
Sr 2.408 2.408 2.408
Se 2.408 0.000 0.000
Se 0.000 2.408 0.000
Se 0.000 0.000 2.408
F 0.000 0.000 0.000

---

Which one sits at the bottom of the stability order? 1 does.

---

--- 1 ---
8
Lattice="-1.211 -2.557 3.938 0.894 -4.025 -2.552 4.650 -1.385 1.821" Properties=species:S:1:pos:R:3 comment="SrSeF6 | Alexandria via LeMat-Bulk | GGA-PBE | optimized geometry" space_group="C2/m, No. 12" pbc="T T T"
F -0.046 -1.906 0.416
F 1.876 -3.527 -0.923
F 0.570 -2.616 3.105
F 4.379 -6.060 2.790
F 3.763 -5.350 0.101
F 2.457 -4.440 4.129
Se 0.000 0.000 0.000
Sr 2.166 -3.983 1.603

---

--- 2 ---
8
Lattice="-5.876 0.205 1.982 -3.698 -4.927 -0.741 -1.730 -3.349 4.928" Properties=species:S:1:pos:R:3 comment="SrSeF6 | Alexandria via LeMat-Bulk | GGA-PBE | optimized geometry" space_group="Fm-3m, No. 225" pbc="T T T"
F -6.734 -3.542 5.204
F -5.527 -6.384 3.696
F -4.569 -4.529 0.966
F -7.823 -4.415 2.064
F -5.776 -1.687 2.474
F -3.480 -3.655 4.106
Se 0.000 0.000 0.000
Sr -5.652 -4.035 3.085

---

Which one sits at the bottom of the stability order? 1 does.

---

--- 1 ---
4
Lattice="1.628 0.000 10.497 -0.814 1.410 10.497 -0.814 -1.410 10.497" Properties=species:S:1:pos:R:3 comment="TaSeF2 | Alexandria via LeMat-Bulk | GGA-PBE | optimized geometry" space_group="R-3m, No. 166" pbc="T T T"
Se 0.000 0.000 0.000
F 0.000 0.000 3.718
F 0.000 0.000 27.771
Ta 0.000 0.000 15.745

---

--- 2 ---
8
Lattice="4.026 0.000 0.000 0.000 4.026 0.000 2.013 2.013 7.324" Properties=species:S:1:pos:R:3 comment="TaSeF2 | Alexandria via LeMat-Bulk | GGA-PBE | optimized geometry" space_group="I-42d, No. 122" pbc="T T T"
F 3.628 1.007 1.831
F 5.033 1.615 5.493
F 3.020 2.412 5.493
F 4.425 3.020 1.831
Se 2.013 4.026 3.662
Se 2.013 2.013 0.000
Ta 4.026 2.013 3.662
Ta 0.000 0.000 0.000

---

--- 3 ---
4
Lattice="0.000 2.978 2.978 2.978 0.000 2.978 2.978 2.978 0.000" Properties=species:S:1:pos:R:3 comment="TaSeF2 | Alexandria via LeMat-Bulk | GGA-PBE | optimized geometry" space_group="Fm-3m, No. 225" pbc="T T T"
F 1.489 1.489 1.489
F 4.467 4.467 4.467
Ta 2.978 2.978 2.978
Se 0.000 0.000 0.000

---

Which one sits at the bottom of the stability order? 3 does.

---

--- 1 ---
5
Lattice="-4.830 -0.962 -0.725 -0.503 -1.114 4.826 -1.095 4.756 0.984" Properties=species:S:1:pos:R:3 comment="TaSe3F | Alexandria via LeMat-Bulk | GGA-PBE | optimized geometry" space_group="Pm-3m, No. 221" pbc="T T T"
Se -2.415 -0.481 -0.363
Se -0.547 2.378 0.492
Se -0.251 -0.557 2.413
F -3.214 1.340 2.542
Ta 0.000 0.000 0.000

---

--- 2 ---
10
Lattice="-0.032 -5.159 -2.788 6.452 -3.692 4.450 -3.698 1.108 6.081" Properties=species:S:1:pos:R:3 comment="TaSe3F | Alexandria via LeMat-Bulk | GGA-PBE | optimized geometry" space_group="P-1, No. 2" pbc="T T T"
Se -2.939 0.705 5.223
Se 5.661 -8.447 2.519
Se 3.337 -3.171 2.502
Se -0.615 -4.571 5.241
Se -0.552 -1.773 4.650
Se 3.274 -5.969 3.092
Ta 4.524 -6.669 1.233
Ta -1.802 -1.073 6.509
F 2.232 -4.393 6.850
F 0.490 -3.349 0.892

---

Which one sits at the bottom of the stability order? 1 does.

---

--- 1 ---
20
Lattice="-4.245 -1.372 -3.049 2.957 -7.773 -0.619 -3.327 -2.439 5.730" Properties=species:S:1:pos:R:3 comment="TcSeF3 | Alexandria via LeMat-Bulk | GGA-PBE | optimized geometry" space_group="P2_1/c, No. 14" pbc="T T T"
F -0.930 -9.045 -0.680
F 0.465 -4.881 0.292
F -5.081 -6.703 1.771
F -3.750 -5.801 3.948
F -3.685 -2.539 2.742
F -0.865 -5.783 -1.885
F 0.712 -8.041 1.722
F -5.328 -3.543 0.341
F -3.124 -3.826 -1.198
F -1.491 -7.758 3.261
F -3.232 -8.907 1.414
F -1.384 -2.677 0.649
Tc -1.338 -4.516 -0.264
Tc 0.041 -9.116 3.415
Tc -3.278 -7.068 2.327
Tc -4.657 -2.468 -1.353
Se -2.310 -6.705 0.133
Se -6.411 -4.347 2.619
Se -2.305 -4.879 1.930
Se 1.796 -7.237 -0.556

---

--- 2 ---
5
Lattice="4.456 0.000 0.000 0.000 4.456 0.000 0.000 0.000 4.456" Properties=species:S:1:pos:R:3 comment="TcSeF3 | Alexandria via LeMat-Bulk | GGA-PBE | optimized geometry" space_group="Pm-3m, No. 221" pbc="T T T"
F 0.000 2.228 0.000
F 0.000 0.000 2.228
F 2.228 0.000 0.000
Tc 2.228 2.228 2.228
Se 0.000 0.000 0.000

---

--- 3 ---
5
Lattice="-0.216 -2.615 -3.427 4.118 0.888 -0.938 1.274 -3.317 2.451" Properties=species:S:1:pos:R:3 comment="TcSeF3 | Alexandria via LeMat-Bulk | GGA-PBE | optimized geometry" space_group="Pm-3m, No. 221" pbc="T T T"
F 0.637 -1.658 1.225
F -0.108 -1.308 -1.713
F 2.059 0.444 -0.469
Tc 0.000 0.000 0.000
Se 2.588 -2.522 -0.957

---

Which one sits at the bottom of the stability order? 2 does.

---

--- 1 ---
6
Lattice="-1.971 3.001 -5.387 0.418 0.437 -6.545 -6.513 -2.260 -2.496" Properties=species:S:1:pos:R:3 comment="TeSeF | Alexandria via LeMat-Bulk | GGA-PBE | optimized geometry" space_group="P-1, No. 2" pbc="T T T"
Se -2.316 1.216 -8.154
Se -5.750 -0.039 -6.274
Te -3.286 1.989 -5.759
Te -4.780 -0.811 -8.669
F -6.293 0.993 -9.398
F -1.773 0.185 -5.029

---

--- 2 ---
6
Lattice="-0.382 -5.151 0.294 5.078 -1.051 0.472 0.710 2.641 6.221" Properties=species:S:1:pos:R:3 comment="TeSeF | Alexandria via LeMat-Bulk | GGA-PBE | optimized geometry" space_group="P-1, No. 2" pbc="T T T"
Te 4.783 -2.759 6.377
Te 2.353 0.513 5.978
Se 0.918 -3.118 4.228
Se 0.429 -0.716 1.434
F 2.421 -3.284 1.309
F 4.005 -1.601 4.826

---

Which one sits at the bottom of the stability order? 2 does.

---

--- 1 ---
5
Lattice="-1.442 0.186 5.200 -4.885 -1.908 -1.287 1.793 -5.048 0.677" Properties=species:S:1:pos:R:3 comment="Te3SeF | Alexandria via LeMat-Bulk | GGA-PBE | optimized geometry" space_group="Pm-3m, No. 221" pbc="T T T"
Te -0.721 0.093 2.600
Te -2.442 -0.954 -0.643
Te 0.896 -2.524 0.339
Se 0.000 0.000 0.000
F -2.267 -3.385 2.295

---

--- 2 ---
5
Lattice="4.965 0.000 0.000 0.000 4.965 0.000 0.000 0.000 4.965" Properties=species:S:1:pos:R:3 comment="Te3SeF | Alexandria via LeMat-Bulk | GGA-PBE | optimized geometry" space_group="Pm-3m, No. 221" pbc="T T T"
F 0.000 0.000 0.000
Te 0.000 0.000 2.483
Te 0.000 2.483 0.000
Te 2.483 0.000 0.000
Se 2.483 2.483 2.483

---

Which one sits at the bottom of the stability order? 1 does.